Material: Hf5NiSn3
Method: DFT, PBE
State: optimized geometry

Cell and atoms, written as extended XYZ:
```
18
Lattice="-6.090 -2.412 5.518 8.057 -2.702 1.064 1.126 4.648 3.275" Properties=species:S:1:pos:R:3 pbc="T T T"
Hf -1.374 -2.509 4.034
Hf 3.342 -2.606 2.549
Hf -1.264 0.550 2.219
Hf 2.326 0.476 1.089
Hf 1.750 -2.655 5.731
Hf -0.811 -0.185 5.671
Hf 3.905 -0.282 4.186
Hf -3.700 1.686 6.574
Hf 1.344 2.188 4.126
Hf 6.858 1.470 3.250
Ni 0.000 0.000 0.000
Ni 0.563 2.324 1.638
Sn -3.416 -0.303 4.170
Sn 1.054 -0.847 3.404
Sn 5.174 -0.479 1.465
Sn -1.547 2.539 4.624
Sn 4.010 2.425 2.874
Sn 2.040 0.380 6.453
```

## Properties
M_tot: 0.1 μB per cell
VASP energy: -142.4 eV per cell
Space group: No. 193
Calculated density: 11.790 Mg/m³